No. 1
Entry from the Alexandria database: crystalline ZrPI3 at its relaxed geometry (PBE). Values from VASP.

```
&SYSTEM
  ibrav = 0, nat = 5, ntyp = 3
/
ATOMIC_SPECIES
Zr 91.22 Zr.upf
P 30.97 P.upf
I 126.90 I.upf
ATOMIC_POSITIONS angstrom
Zr 0.0000 0.0000 0.0000
P 2.7298 2.7298 2.7298
I 0.0000 2.7298 2.7298
I 2.7298 0.0000 2.7298
I 2.7298 2.7298 0.0000
CELL_PARAMETERS angstrom
5.4595 0.0000 0.0000
0.0000 5.4595 0.0000
0.0000 0.0000 5.4595
```

Output
- energy relative to the lowest polymorph listed for this composition (kJ/mol of atoms) = 49.1
- space group = Pm-3m, No. 221
- uncorrected formation energy (eV per formula unit) = 3.26
- total magnetization (Bohr magnetons per cell) = 2.6

---

No. 2
Entry from the Alexandria database: crystalline TaNi2Te at its relaxed geometry (PBE). Values from VASP.

```
&SYSTEM
  ibrav = 0, nat = 8, ntyp = 3
/
ATOMIC_SPECIES
Ta 180.95 Ta.upf
Ni 58.69 Ni.upf
Te 127.60 Te.upf
ATOMIC_POSITIONS angstrom
Ta 0.0000 0.0000 0.0000
Ta 4.2269 1.7532 0.0000
Ni -0.3719 1.7532 2.6220
Ni 1.4141 0.0000 3.4113
Ni 3.8550 0.0000 2.6220
Ni 5.6410 1.7532 3.4113
Te 1.8552 1.7532 1.4563
Te 6.0821 0.0000 1.4563
CELL_PARAMETERS angstrom
8.4538 0.0000 0.0000
0.0000 3.5063 0.0000
-1.0655 0.0000 4.3319
```

Output
- space group = Cm, No. 8
- uncorrected formation energy (eV per formula unit) = 0.39
- total magnetization (Bohr magnetons per cell) = 0.0

---

No. 3
Entry from the Alexandria database: crystalline MnTl2Pd4 at its relaxed geometry (PBE). Values from VASP.

```
&SYSTEM
  ibrav = 0, nat = 14, ntyp = 3
/
ATOMIC_SPECIES
Mn 54.94 Mn.upf
Tl 204.38 Tl.upf
Pd 106.42 Pd.upf
ATOMIC_POSITIONS angstrom
Mn 0.0000 0.0000 0.0000
Mn 2.3578 2.3578 6.9598
Tl 0.0000 0.0000 5.1347
Tl 0.0000 0.0000 8.7849
Tl 2.3578 2.3578 1.8251
Tl 2.3578 2.3578 12.0945
Pd 0.0000 0.0000 2.4397
Pd 0.0000 0.0000 11.4799
Pd 0.0000 2.3578 0.0000
Pd 0.0000 2.3578 6.9598
Pd 2.3578 0.0000 0.0000
Pd 2.3578 0.0000 6.9598
Pd 2.3578 2.3578 4.5201
Pd 2.3578 2.3578 9.3996
CELL_PARAMETERS angstrom
4.7156 0.0000 0.0000
0.0000 4.7156 0.0000
0.0000 0.0000 13.9196
```

Output
- formation enthalpy at 0 K (eV per atom) = 0.36
- space group = I4/mmm, No. 139
- total magnetization (Bohr magnetons per cell) = 9.3

---

No. 4
Entry from the Alexandria database: crystalline AlZn2Cd2 at its relaxed geometry (PBE). Values from VASP.

```
&SYSTEM
  ibrav = 0, nat = 10, ntyp = 3
/
ATOMIC_SPECIES
Al 26.98 Al.upf
Zn 65.41 Zn.upf
Cd 112.41 Cd.upf
ATOMIC_POSITIONS angstrom
Al 0.0000 0.0000 0.0000
Al 4.2033 4.2033 0.0000
Zn 1.2990 2.9043 1.4095
Zn 2.9043 7.1076 1.4095
Zn 5.5023 1.2990 1.4095
Zn 7.1076 5.5023 1.4095
Cd 1.2212 5.4244 0.0000
Cd 2.9821 1.2212 0.0000
Cd 5.4244 7.1854 0.0000
Cd 7.1854 2.9821 0.0000
CELL_PARAMETERS angstrom
8.4066 0.0000 0.0000
0.0000 8.4066 0.0000
0.0000 0.0000 2.8189
```

Output
- formation enthalpy at 0 K (eV per atom) = 0.19
- energy relative to the lowest polymorph listed for this composition (kJ/mol of atoms) = 5.1
- space group = P4/mbm, No. 127
- total magnetization (Bohr magnetons per cell) = 0.0

---

No. 5
Entry from the Alexandria database: crystalline Ba5Te at its relaxed geometry (PBE). Values from VASP.

```
&SYSTEM
  ibrav = 0, nat = 12, ntyp = 2
/
ATOMIC_SPECIES
Ba 137.33 Ba.upf
Te 127.60 Te.upf
ATOMIC_POSITIONS angstrom
Ba 0.0000 0.0000 0.0000
Ba 0.0000 0.0000 5.5321
Ba 0.0000 2.3716 9.9743
Ba 0.0000 2.3716 15.5064
Ba 3.3409 0.0000 2.6051
Ba 3.3409 0.0000 9.0818
Ba 3.3409 0.0000 15.8921
Ba 3.3409 2.3716 5.9178
Ba 3.3409 2.3716 12.5794
Ba 3.3409 2.3716 19.0562
Te 0.0000 0.0000 12.7813
Te 0.0000 2.3716 2.8069
CELL_PARAMETERS angstrom
6.6818 0.0000 0.0000
0.0000 4.7431 0.0000
0.0000 0.0000 19.9487
```

Output
- energy relative to the lowest polymorph listed for this composition (kJ/mol of atoms) = 8.4
- space group = Amm2, No. 38
- uncorrected formation energy (eV per formula unit) = -2.22
- total magnetization (Bohr magnetons per cell) = 0.0

---

No. 6
Entry from the Alexandria database: crystalline Mn2NiH5Rh at its relaxed geometry (PBE). Values from VASP.

```
&SYSTEM
  ibrav = 0, nat = 18, ntyp = 4
/
ATOMIC_SPECIES
Mn 54.94 Mn.upf
Ni 58.69 Ni.upf
H 1.01 H.upf
Rh 102.91 Rh.upf
ATOMIC_POSITIONS angstrom
Mn 1.4021 4.2969 4.2661
Mn 1.4021 4.1479 0.4687
Mn 1.4021 -4.1479 4.7348
Mn 1.4021 -4.2969 0.0000
Ni 1.4021 0.2454 2.2444
Ni 1.4021 -0.2454 6.5105
H 1.4021 5.2735 7.4916
H 1.4021 2.4884 3.5544
H 1.4021 2.2679 1.2315
H 1.4021 1.2619 7.2820
H 1.4021 0.0373 4.9076
H 1.4021 -0.0373 0.6414
H 1.4021 -1.2619 3.0159
H 1.4021 -2.2679 5.4976
H 1.4021 -2.4884 7.8205
H 1.4021 -5.2735 3.2255
Rh 1.4021 2.8822 6.6007
Rh 1.4021 -2.8822 2.3345
CELL_PARAMETERS angstrom
1.4021 -5.5651 0.0000
1.4021 5.5651 0.0000
0.0000 0.0000 8.5322
```

Output
- total DFT energy (no corrections) (eV per atom) = -5.338
- space group = Cmc2_1, No. 36
- total magnetization (Bohr magnetons per cell) = 14.1

---

No. 7
Entry from the Alexandria database: crystalline Os3ClO12 at its relaxed geometry (PBE). Values from VASP.

```
&SYSTEM
  ibrav = 0, nat = 32, ntyp = 3
/
ATOMIC_SPECIES
Os 190.23 Os.upf
Cl 35.45 Cl.upf
O 16.00 O.upf
ATOMIC_POSITIONS angstrom
Os -1.3792 -2.5303 9.6529
Os -3.1320 -0.2157 14.4794
Os -1.5017 2.4596 9.6529
Os 1.7528 -2.6045 14.4794
Os 2.8809 0.0707 9.6529
Os 1.3792 2.8202 14.4794
Cl 0.0000 0.0000 2.4890
Cl 0.0000 0.0000 16.9684
O -3.1883 -1.1073 13.0043
O -1.6911 0.8628 4.9509
O 0.0983 -1.8959 4.9509
O -0.6352 -2.0357 8.1779
O -3.0976 -1.3164 15.8058
O -0.4087 -2.0096 10.9793
O -1.4454 1.5680 8.1779
O -2.9161 -1.9028 19.3429
O -1.5360 1.3588 10.9793
O -1.7176 0.7724 14.5165
O 0.1899 -1.8737 14.5165
O 1.5928 1.0331 4.9509
O 2.0806 0.4678 8.1779
O -0.0983 -1.8959 19.4302
O -1.5927 1.0331 19.4302
O 2.5531 -2.2075 13.0043
O 1.9448 0.6508 10.9794
O 2.6889 -2.0244 15.8058
O 0.6352 3.3148 13.0043
O 1.5277 1.1013 14.5165
O 0.4088 3.3409 15.8058
O -0.1898 3.4768 19.3429
O 3.1059 -1.5740 19.3429
O 1.6911 0.8628 19.4303
CELL_PARAMETERS angstrom
4.6337 2.6752 9.6529
-4.6337 2.6752 9.6529
0.0000 -5.3505 9.6529
```

Output
- space group = R3c, No. 161
- uncorrected formation energy (eV per formula unit) = -13.13
- total magnetization (Bohr magnetons per cell) = 2.0

---

No. 8
Entry from the Alexandria database: crystalline Hf2ZnGe2 at its relaxed geometry (PBE). Values from VASP.

```
&SYSTEM
  ibrav = 0, nat = 10, ntyp = 3
/
ATOMIC_SPECIES
Hf 178.49 Hf.upf
Zn 65.41 Zn.upf
Ge 72.64 Ge.upf
ATOMIC_POSITIONS angstrom
Hf 1.0888 2.5663 0.0000
Hf 2.5663 6.2214 0.0000
Hf 4.7440 1.0888 0.0000
Hf 6.2214 4.7440 0.0000
Zn 0.0000 0.0000 0.0000
Zn 3.6551 3.6551 0.0000
Ge 1.1468 4.8019 1.8179
Ge 2.5083 1.1468 1.8179
Ge 4.8019 6.1634 1.8179
Ge 6.1634 2.5083 1.8179
CELL_PARAMETERS angstrom
7.3102 0.0000 0.0000
0.0000 7.3102 0.0000
0.0000 0.0000 3.6358
```

Output
- formation enthalpy at 0 K (eV per atom) = -0.24
- space group = P4/mbm, No. 127
- total magnetization (Bohr magnetons per cell) = 0.0

---

No. 9
Entry from the Alexandria database: crystalline LaPuH2O6 at its relaxed geometry (PBE). Values from VASP.

```
&SYSTEM
  ibrav = 0, nat = 10, ntyp = 4
/
ATOMIC_SPECIES
La 138.91 La.upf
Pu 244.00 Pu.upf
H 1.01 H.upf
O 16.00 O.upf
ATOMIC_POSITIONS angstrom
La 0.0000 0.0000 0.0000
Pu 4.6487 3.3896 2.6540
H 1.6140 2.0327 1.4794
H 7.6834 4.7465 3.8286
O 3.5301 4.9632 3.8888
O 3.1358 3.2493 1.4850
O 3.9159 2.0575 3.8198
O 5.3816 4.7217 1.4882
O 6.1616 3.5299 3.8231
O 5.7673 1.8160 1.4193
CELL_PARAMETERS angstrom
5.1139 0.0000 0.0000
2.1982 5.0029 0.0000
1.9853 1.7763 5.3081
```

Output
- total DFT energy (no corrections) (eV per atom) = -7.790
- space group = P-1, No. 2
- total magnetization (Bohr magnetons per cell) = 1.0

---

No. 10
Entry from the Alexandria database: crystalline AlCu2Sb at its relaxed geometry (PBE). Values from VASP.

```
&SYSTEM
  ibrav = 0, nat = 16, ntyp = 3
/
ATOMIC_SPECIES
Al 26.98 Al.upf
Cu 63.55 Cu.upf
Sb 121.76 Sb.upf
ATOMIC_POSITIONS angstrom
Al 0.0000 0.0000 0.0000
Al 0.0000 3.2522 3.2522
Al 3.2522 0.0000 3.2522
Al 3.2522 3.2522 0.0000
Cu 0.0000 0.0000 3.2522
Cu 0.0000 3.2522 0.0000
Cu 1.6261 1.6261 1.6261
Cu 1.6261 4.8783 4.8783
Cu 3.2522 0.0000 0.0000
Cu 3.2522 3.2522 3.2522
Cu 4.8783 1.6261 4.8783
Cu 4.8783 4.8783 1.6261
Sb 1.6261 1.6261 4.8783
Sb 1.6261 4.8783 1.6261
Sb 4.8783 1.6261 1.6261
Sb 4.8783 4.8783 4.8783
CELL_PARAMETERS angstrom
6.5044 0.0000 0.0000
0.0000 6.5044 0.0000
0.0000 0.0000 6.5044
```

Output
- energy relative to the lowest polymorph listed for this composition (kJ/mol of atoms) = 25.5
- space group = F-43m, No. 216
- uncorrected formation energy (eV per formula unit) = 1.19
- total magnetization (Bohr magnetons per cell) = 0.0

---

No. 11
Entry from the Alexandria database: crystalline RuRhW2 at its relaxed geometry (PBE). Values from VASP.

```
&SYSTEM
  ibrav = 0, nat = 16, ntyp = 3
/
ATOMIC_SPECIES
Ru 101.07 Ru.upf
Rh 102.91 Rh.upf
W 183.84 W.upf
ATOMIC_POSITIONS angstrom
Ru 0.0000 0.0000 0.0000
Ru 0.0000 3.1254 3.1254
Ru 3.1254 0.0000 3.1254
Ru 3.1254 3.1254 0.0000
Rh 1.5627 1.5627 4.6881
Rh 1.5627 4.6881 1.5627
Rh 4.6881 1.5627 1.5627
Rh 4.6881 4.6881 4.6881
W 0.0000 0.0000 3.1254
W 0.0000 3.1254 0.0000
W 1.5627 1.5627 1.5627
W 1.5627 4.6881 4.6881
W 3.1254 0.0000 0.0000
W 3.1254 3.1254 3.1254
W 4.6881 1.5627 4.6881
W 4.6881 4.6881 1.5627
CELL_PARAMETERS angstrom
6.2508 0.0000 0.0000
0.0000 6.2508 0.0000
0.0000 0.0000 6.2508
```

Output
- formation enthalpy at 0 K (eV per atom) = 0.22
- energy relative to the lowest polymorph listed for this composition (kJ/mol of atoms) = 28.5
- space group = F-43m, No. 216
- total magnetization (Bohr magnetons per cell) = 0.0

---

No. 12
Entry from the Alexandria database: crystalline NiTe2IN at its relaxed geometry (PBE). Values from VASP.

```
&SYSTEM
  ibrav = 0, nat = 5, ntyp = 4
/
ATOMIC_SPECIES
Ni 58.69 Ni.upf
Te 127.60 Te.upf
I 126.90 I.upf
N 14.01 N.upf
ATOMIC_POSITIONS angstrom
Ni 0.0000 0.0000 0.0000
Te 0.0000 2.4942 0.0000
Te 2.4942 0.0000 0.0000
I 0.0000 0.0000 2.5358
N 2.4942 2.4942 2.5358
CELL_PARAMETERS angstrom
4.9883 0.0000 0.0000
0.0000 4.9883 0.0000
0.0000 0.0000 5.0716
```

Output
- energy relative to the lowest polymorph listed for this composition (kJ/mol of atoms) = 87.6
- space group = P4/mmm, No. 123
- uncorrected formation energy (eV per formula unit) = 7.46
- total magnetization (Bohr magnetons per cell) = 0.0